DFT (PBE with a Hubbard U) results for a relaxed structure of GaNi2F.

Cell: 6.3526 6.3526 5.4025 Å, 90.00 90.00 90.00°
Space group I-42d (No. 122)
Unique sites:
Ga (0.0000, 0.0000, 0.0000) x4
Ni (0.2054, 0.2500, 0.6250) x8
F (0.0000, 0.0000, 0.5000) x4

Computed properties:
ΔE to the lowest computed polymorph = 0 meV per atom
magnetization = 2.0 μB/f.u.